# 1
# KCdGe3 (PBE, relaxed)
data_KCdGe3
_space_group_name_H-M_alt 'P m -3 m'
_space_group_IT_number 221
_space_group_name_Hall '-P 4 2 3'
_cell_length_a 5.3419
_cell_length_b 5.3419
_cell_length_c 5.3419
_cell_angle_alpha 90.00
_cell_angle_beta 90.00
_cell_angle_gamma 90.00
loop_
_atom_site_label
_atom_site_fract_x
_atom_site_fract_y
_atom_site_fract_z
_atom_site_occupancy
K1 0.0000 0.0000 0.0000 1
Cd1 0.5000 0.5000 0.5000 1
Ge1 0.0000 0.5000 0.5000 1
# ΔH_f (0 K)   0.532 eV/atom
# Uncorrected energy   -2.641 eV per atom
# Offset from the most stable computed form   0.0 meV per atom
# Volume   30.49 A^3/atom
# Mass density   4.02 g/cm³

# 2
# KLi2CdGe (PBE, relaxed)
data_KLi2CdGe
_space_group_name_H-M_alt 'P 4/m m m'
_space_group_IT_number 123
_space_group_name_Hall '-P 4 2'
_cell_length_a 5.1431
_cell_length_b 5.1431
_cell_length_c 5.3104
_cell_angle_alpha 90.00
_cell_angle_beta 90.00
_cell_angle_gamma 90.00
loop_
_atom_site_label
_atom_site_fract_x
_atom_site_fract_y
_atom_site_fract_z
_atom_site_occupancy
K1 0.0000 0.0000 0.0000 1
Li1 0.0000 0.5000 0.5000 1
Cd1 0.5000 0.5000 0.0000 1
Ge1 0.5000 0.5000 0.5000 1
# ΔH_f (0 K)   -0.106 eV/atom
# Uncorrected energy   -2.197 eV per atom
# Volume   28.09 A^3/atom
# Mass density   2.81 g/cm³

# 3
# KMnCdGe2 (PBE, relaxed)
data_KMnCdGe2
_space_group_name_H-M_alt 'P 4/m m m'
_space_group_IT_number 123
_space_group_name_Hall '-P 4 2'
_cell_length_a 4.6357
_cell_length_b 4.6357
_cell_length_c 5.2716
_cell_angle_alpha 90.00
_cell_angle_beta 90.00
_cell_angle_gamma 90.00
loop_
_atom_site_label
_atom_site_fract_x
_atom_site_fract_y
_atom_site_fract_z
_atom_site_occupancy
K1 0.0000 0.0000 0.0000 1
Mn1 0.5000 0.5000 0.5000 1
Cd1 0.5000 0.5000 0.0000 1
Ge1 0.0000 0.5000 0.5000 1
# ΔH_f (0 K)   -0.001 eV/atom
# Uncorrected energy   -4.084 eV per atom
# Volume   22.66 A^3/atom
# Mass density   5.16 g/cm³

# 4
# KNaCdGe (PBE, relaxed)
data_KNaCdGe
_space_group_name_H-M_alt 'F -4 3 m'
_space_group_IT_number 216
_space_group_name_Hall 'F -4 2 3'
_cell_length_a 7.4197
_cell_length_b 7.4197
_cell_length_c 7.4197
_cell_angle_alpha 90.00
_cell_angle_beta 90.00
_cell_angle_gamma 90.00
loop_
_atom_site_label
_atom_site_fract_x
_atom_site_fract_y
_atom_site_fract_z
_atom_site_occupancy
K1 0.0000 0.0000 0.0000 1
Na1 0.2500 0.2500 0.7500 1
Cd1 0.2500 0.2500 0.2500 1
Ge1 0.0000 0.0000 0.5000 1
# ΔH_f (0 K)   0.003 eV/atom
# Uncorrected energy   -1.984 eV per atom
# Volume   25.53 A^3/atom
# Mass density   4.02 g/cm³

# 5
# KCd2NiGe (PBE, relaxed)
data_KCd2NiGe
_space_group_name_H-M_alt 'P 4/m m m'
_space_group_IT_number 123
_space_group_name_Hall '-P 4 2'
_cell_length_a 5.1456
_cell_length_b 5.1456
_cell_length_c 4.5883
_cell_angle_alpha 90.00
_cell_angle_beta 90.00
_cell_angle_gamma 90.00
loop_
_atom_site_label
_atom_site_fract_x
_atom_site_fract_y
_atom_site_fract_z
_atom_site_occupancy
K1 0.0000 0.0000 0.0000 1
Cd1 0.0000 0.5000 0.5000 1
Ni1 0.5000 0.5000 0.5000 1
Ge1 0.5000 0.5000 0.0000 1
# ΔH_f (0 K)   -0.050 eV/atom
# Uncorrected energy   -2.715 eV per atom
# Volume   24.30 A^3/atom
# Mass density   5.40 g/cm³

# 6
# K2CdGeO4 (PBE, relaxed)
data_K2CdGeO4
_space_group_name_H-M_alt 'P c a 21'
_space_group_IT_number 29
_space_group_name_Hall 'P 2c -2ac'
_cell_length_a 11.7087
_cell_length_b 5.8472
_cell_length_c 16.3819
_cell_angle_alpha 90.00
_cell_angle_beta 90.00
_cell_angle_gamma 90.00
loop_
_atom_site_label
_atom_site_fract_x
_atom_site_fract_y
_atom_site_fract_z
_atom_site_occupancy
K1 0.0053 0.0169 0.1163 1
K2 0.0131 0.5066 0.5000 1
K3 0.2266 0.5405 0.8721 1
K4 0.2361 0.0370 0.7393 1
Cd1 0.0145 0.5180 0.2465 1
Cd2 0.2391 0.0308 0.9937 1
Ge1 0.0110 0.0258 0.3680 1
Ge2 0.2338 0.5149 0.6253 1
O1 0.0086 0.2758 0.8593 1
O2 0.0298 0.8420 0.7737 1
O3 0.0767 0.8764 0.9502 1
O4 0.1072 0.3597 0.6519 1
O5 0.1553 0.1161 0.3872 1
O6 0.1778 0.3249 0.0677 1
O7 0.1860 0.7584 0.5695 1
O8 0.1931 0.6003 0.2158 1
# Uncorrected formation energy   -1.60 eV/atom
# Uncorrected energy   -5.043 eV per atom
# Volume   17.52 A^3/atom
# Mass density   3.88 g/cm³

Question: Among the records above, which one has the highest uncorrected energy?
Answer: KNaCdGe

Question: Among the records above, which one has the lowest volume?
Answer: K2CdGeO4

Question: Which value of uncorrected energy does entry 3 give?
Answer: -4.084 eV per atom